Record 1
Material: KTe2MoN
Method: DFT, GGA-PBEsol
State: optimized geometry

Lattice parameters (Å, degrees): 3.8059 5.5688 5.5688 90.00 90.00 90.00
Atoms (fractional coordinates):
Mo: 0.0000 0.0000 0.0000
K: 0.5000 0.5000 0.5000
N: 0.5000 0.0000 0.0000
Te: 0.0000 0.0000 0.5000
Te: 0.0000 0.5000 0.0000

Computed properties:
E_form (uncorrected): -123.5 meV per atom
magnetic moment: 0.0 μB per formula unit
density of states at the Fermi level: 3.81 states/eV/f.u.
total DFT energy (no corrections): -5.819 eV per atom


Record 2
Material: K2NaMo2
Method: DFT, GGA-PBEsol
State: optimized geometry

Lattice parameters (Å, degrees): 3.5060 3.5060 13.6163 97.40 97.40 90.00
Atoms (fractional coordinates):
Mo: 0.7500 0.2500 0.5000
Mo: 0.2500 0.7500 0.5000
K: 0.6315 0.6315 0.2631
K: 0.3685 0.3685 0.7369
Na: 0.0000 0.0000 0.0000

Computed properties:
magnetic moment: 0.0 μB per formula unit
ΔH_f (0 K): 0.815 eV/atom
density of states at the Fermi level: 5.05 states/eV/f.u.
total DFT energy (no corrections): -4.625 eV per atom


Record 3
Material: KNa3Mo
Method: DFT, GGA-PBEsol
State: optimized geometry

Lattice parameters (Å, degrees): 5.8391 5.8391 5.8391 90.00 90.00 90.00
Atoms (fractional coordinates):
Na: 0.5000 0.0000 0.0000
Na: 0.0000 0.0000 0.5000
Na: 0.0000 0.5000 0.0000
K: 0.0000 0.0000 0.0000
Mo: 0.5000 0.5000 0.5000

Computed properties:
magnetic moment: 4.9 μB per formula unit
ΔH_f (0 K): 1.525 eV/atom
density of states at the Fermi level: 2.80 states/eV/f.u.
total DFT energy (no corrections): -1.895 eV per atom


Record 4
Material: K3NaMo2O8
Method: DFT, GGA-PBEsol
State: optimized geometry

Lattice parameters (Å, degrees): 5.9964 5.9961 15.1676 90.43 90.00 120.00
Atoms (fractional coordinates):
O: 0.3929 0.1556 0.5792
O: 0.2373 0.8444 0.9208
O: 0.1351 0.3722 0.4113
O: 0.2970 0.1501 0.1250
O: 0.2650 0.6516 0.7508
O: 0.8649 0.6278 0.5887
O: 0.1469 0.8499 0.3750
O: 0.2371 0.3722 0.9113
O: 0.8531 0.1501 0.6250
O: 0.6134 0.3484 0.7492
O: 0.6071 0.8444 0.4208
O: 0.3866 0.6516 0.2508
O: 0.7350 0.3484 0.2492
O: 0.7627 0.1556 0.0792
O: 0.7629 0.6278 0.0887
O: 0.7030 0.8499 0.8750
K: 0.3018 0.6552 0.0854
K: 0.0680 0.0000 0.7500
K: 0.3534 0.6552 0.5854
K: 0.9320 0.0000 0.2500
K: 0.6466 0.3448 0.4146
K: 0.6982 0.3448 0.9146
Mo: 0.3133 0.6780 0.3615
Mo: 0.6867 0.3220 0.6385
Mo: 0.3647 0.6780 0.8615
Mo: 0.6353 0.3220 0.1385
Na: 0.0000 0.0000 0.0000
Na: 0.0000 0.0000 0.5000

Computed properties:
E_form (uncorrected): -2102.6 meV per atom
magnetic moment: 0.0 μB per formula unit
density of states at the Fermi level: 0.00 states/eV/f.u.
total DFT energy (no corrections): -7.126 eV per atom


Record 5
Material: K4Na4Mo5W3O24
Method: DFT, GGA-PBEsol
State: optimized geometry

Lattice parameters (Å, degrees): 7.7758 7.7798 7.7922 90.00 90.00 90.00
Atoms (fractional coordinates):
Mo: 0.9980 0.5000 0.5000
Mo: 0.5025 0.0000 0.5000
Mo: 0.5023 0.5000 0.5000
Mo: 0.5026 0.5000 0.0000
Mo: 0.9980 0.0000 0.5000
O: 0.2479 0.5000 0.0000
O: 0.2497 0.0000 0.0000
O: 0.2494 0.5000 0.5000
O: 0.9959 0.0000 0.7531
O: 0.5048 0.5000 0.2483
O: 0.5052 0.7507 0.5000
O: 0.5043 0.7517 0.0000
O: 0.2501 0.0000 0.5000
O: 0.9954 0.2498 0.5000
O: 0.5049 0.0000 0.2475
O: 0.5043 0.2483 0.0000
O: 0.5049 0.0000 0.7525
O: 0.9952 0.5000 0.7525
O: 0.5052 0.2493 0.5000
O: 0.9962 0.2494 0.0000
O: 0.7505 0.0000 0.5000
O: 0.9959 0.0000 0.2469
O: 0.5048 0.5000 0.7517
O: 0.7509 0.0000 0.0000
O: 0.9954 0.7502 0.5000
O: 0.7509 0.5000 0.5000
O: 0.9952 0.5000 0.2475
O: 0.7512 0.5000 0.0000
O: 0.9962 0.7506 0.0000
W: 0.9978 0.5000 0.0000
W: 0.9980 0.0000 0.0000
W: 0.5027 0.0000 0.0000
K: 0.2513 0.7488 0.2534
K: 0.2513 0.7488 0.7466
K: 0.2513 0.2512 0.7466
K: 0.2513 0.2512 0.2534
Na: 0.7471 0.2530 0.2596
Na: 0.7471 0.7470 0.7404
Na: 0.7471 0.7470 0.2596
Na: 0.7471 0.2530 0.7404

Computed properties:
E_form (uncorrected): -2125.2 meV per atom
magnetic moment: 0.0 μB per formula unit
density of states at the Fermi level: 6.19 states/eV/f.u.
total DFT energy (no corrections): -8.035 eV per atom


Record 6
Material: K4Na4Mo3W5O24
Method: DFT, GGA-PBEsol
State: optimized geometry

Lattice parameters (Å, degrees): 7.8041 7.7879 7.7918 90.00 90.00 90.00
Atoms (fractional coordinates):
O: 0.2485 0.0041 0.0000
O: 0.0000 0.4956 0.7501
O: 0.0000 0.2490 0.0000
O: 0.2471 0.4953 0.0000
O: 0.2471 0.0044 0.5000
O: 0.5000 0.2486 0.0000
O: 0.5000 0.0049 0.7519
O: 0.0000 0.7497 0.5000
O: 0.5000 0.4951 0.7508
O: 0.5000 0.7524 0.0000
O: 0.5000 0.0049 0.2481
O: 0.5000 0.2491 0.5000
O: 0.0000 0.2495 0.5000
O: 0.2467 0.4949 0.5000
O: 0.7515 0.0041 0.0000
O: 0.0000 0.7503 0.0000
O: 0.7529 0.0044 0.5000
O: 0.0000 0.0034 0.2493
O: 0.5000 0.7507 0.5000
O: 0.0000 0.0034 0.7507
O: 0.0000 0.4956 0.2499
O: 0.7533 0.4949 0.5000
O: 0.7529 0.4953 0.0000
O: 0.5000 0.4951 0.2492
Mo: 0.5000 0.0019 0.5000
Mo: 0.5000 0.4978 0.0000
Mo: 0.5000 0.4978 0.5000
W: 0.0000 0.0019 0.5000
W: 0.5000 0.0020 0.0000
W: 0.0000 0.4972 0.0000
W: 0.0000 0.0019 0.0000
W: 0.0000 0.4973 0.5000
Na: 0.7392 0.2533 0.7465
Na: 0.2608 0.2533 0.2535
Na: 0.7392 0.2533 0.2535
Na: 0.2608 0.2533 0.7465
K: 0.2537 0.7486 0.7488
K: 0.2537 0.7486 0.2512
K: 0.7463 0.7486 0.2512
K: 0.7463 0.7486 0.7488

Computed properties:
E_form (uncorrected): -2142.2 meV per atom
magnetic moment: 0.0 μB per formula unit
density of states at the Fermi level: 6.00 states/eV/f.u.
total DFT energy (no corrections): -8.154 eV per atom


Record 7
Material: K4Na4Mo7WO24
Method: DFT, GGA-PBEsol
State: optimized geometry

Lattice parameters (Å, degrees): 7.7701 7.7701 7.7655 90.00 90.00 90.00
Atoms (fractional coordinates):
O: 0.7514 0.0000 0.9955
O: 0.5000 0.2493 0.9955
O: 0.2493 0.5000 0.9955
O: 0.0000 0.7514 0.9955
O: 0.0000 0.7507 0.5046
O: 0.5000 0.0000 0.2495
O: 0.7507 0.0000 0.5046
O: 0.5000 0.7502 0.5051
O: 0.5000 0.2498 0.5051
O: 0.5000 0.5000 0.7505
O: 0.5000 0.5000 0.2501
O: 0.2486 0.0000 0.9955
O: 0.0000 0.5000 0.7509
O: 0.2498 0.5000 0.5051
O: 0.0000 0.0000 0.2481
O: 0.0000 0.0000 0.7510
O: 0.5000 0.7507 0.9955
O: 0.7507 0.5000 0.9955
O: 0.7502 0.5000 0.5051
O: 0.5000 0.0000 0.7509
O: 0.0000 0.5000 0.2495
O: 0.0000 0.2493 0.5046
O: 0.2493 0.0000 0.5046
O: 0.0000 0.2486 0.9955
Mo: 0.0000 0.5000 0.9977
Mo: 0.0000 0.5000 0.5026
Mo: 0.5000 0.5000 0.9979
Mo: 0.5000 0.0000 0.5026
Mo: 0.5000 0.5000 0.5026
Mo: 0.0000 0.0000 0.5026
Mo: 0.5000 0.0000 0.9977
Na: 0.7475 0.7475 0.7476
Na: 0.2525 0.7475 0.7476
Na: 0.2525 0.2525 0.7476
Na: 0.7475 0.2525 0.7476
K: 0.7489 0.2511 0.2512
K: 0.2511 0.7489 0.2512
K: 0.7489 0.7489 0.2512
K: 0.2511 0.2511 0.2512
W: 0.0000 0.0000 0.9978

Computed properties:
E_form (uncorrected): -2104.9 meV per atom
magnetic moment: 0.0 μB per formula unit
density of states at the Fermi level: 5.78 states/eV/f.u.
total DFT energy (no corrections): -7.912 eV per atom


Record 8
Material: KNaMoWO6
Method: DFT, GGA-PBEsol
State: optimized geometry

Lattice parameters (Å, degrees): 7.7859 7.7900 7.7900 90.00 90.00 90.00
Atoms (fractional coordinates):
O: 0.5052 0.7515 0.5000
O: 0.2488 0.5000 0.5000
O: 0.9956 0.2480 0.5000
O: 0.7518 0.0000 0.5000
O: 0.9965 0.2487 0.0000
O: 0.7518 0.5000 0.0000
O: 0.5052 0.5000 0.7515
O: 0.9956 0.7520 0.5000
O: 0.5052 0.5000 0.2485
O: 0.2479 0.0000 0.5000
O: 0.9965 0.7513 0.0000
O: 0.9965 0.0000 0.2487
O: 0.5049 0.7519 0.0000
O: 0.9956 0.5000 0.2480
O: 0.5049 0.0000 0.2481
O: 0.2494 0.0000 0.0000
O: 0.5052 0.2485 0.5000
O: 0.2479 0.5000 0.0000
O: 0.5049 0.2481 0.0000
O: 0.5049 0.0000 0.7519
O: 0.7518 0.5000 0.5000
O: 0.9965 0.0000 0.7513
O: 0.9956 0.5000 0.7520
O: 0.7519 0.0000 0.0000
Mo: 0.5028 0.0000 0.5000
Mo: 0.9983 0.5000 0.5000
Mo: 0.5028 0.5000 0.0000
Mo: 0.5025 0.5000 0.5000
W: 0.9982 0.0000 0.5000
W: 0.9982 0.5000 0.0000
W: 0.9984 0.0000 0.0000
W: 0.5031 0.0000 0.0000
Na: 0.7436 0.2567 0.2567
Na: 0.7436 0.7433 0.7433
Na: 0.7436 0.2567 0.7433
Na: 0.7436 0.7433 0.2567
K: 0.2527 0.7476 0.7476
K: 0.2527 0.2524 0.2524
K: 0.2527 0.2524 0.7476
K: 0.2527 0.7476 0.2524

Computed properties:
E_form (uncorrected): -2133.9 meV per atom
magnetic moment: 0.0 μB per formula unit
density of states at the Fermi level: 1.56 states/eV/f.u.
total DFT energy (no corrections): -8.094 eV per atom


Record 9
Material: KNaSi2Mo
Method: DFT, GGA-PBEsol
State: optimized geometry

Lattice parameters (Å, degrees): 5.2626 5.4049 5.4049 90.00 90.00 90.00
Atoms (fractional coordinates):
Si: 0.0000 0.5000 0.0000
Si: 0.0000 0.0000 0.5000
Na: 0.5000 0.5000 0.5000
K: 0.0000 0.0000 0.0000
Mo: 0.5000 0.0000 0.0000

Computed properties:
E_form (uncorrected): 2265.2 meV per atom
magnetic moment: 4.0 μB per formula unit
density of states at the Fermi level: 2.89 states/eV/f.u.
total DFT energy (no corrections): -2.894 eV per atom


Record 10
Material: KNb2MoOs
Method: DFT, GGA-PBEsol
State: optimized geometry

Lattice parameters (Å, degrees): 4.8428 4.9418 4.9418 90.00 90.00 90.00
Atoms (fractional coordinates):
Mo: 0.5000 0.0000 0.0000
K: 0.5000 0.5000 0.5000
Nb: 0.0000 0.5000 0.0000
Nb: 0.0000 0.0000 0.5000
Os: 0.0000 0.0000 0.0000

Computed properties:
magnetic moment: 0.0 μB per formula unit
ΔH_f (0 K): 1.443 eV/atom
density of states at the Fermi level: 5.61 states/eV/f.u.
total DFT energy (no corrections): -7.909 eV per atom


Record 11
Material: KNbMo2Ru
Method: DFT, GGA-PBEsol
State: optimized geometry

Lattice parameters (Å, degrees): 4.6610 4.6610 4.8967 90.00 90.00 90.00
Atoms (fractional coordinates):
Mo: 0.5000 0.0000 0.0000
Mo: 0.0000 0.5000 0.0000
Nb: 0.5000 0.5000 0.5000
Ru: 0.0000 0.0000 0.0000
K: 0.0000 0.0000 0.5000

Computed properties:
magnetic moment: 0.4 μB per formula unit
ΔH_f (0 K): 2.147 eV/atom
density of states at the Fermi level: 6.47 states/eV/f.u.
total DFT energy (no corrections): -6.986 eV per atom


Record 12
Material: K2NiMo
Method: DFT, GGA-PBEsol
State: optimized geometry

Lattice parameters (Å, degrees): 2.7604 4.1062 10.3572 101.46 97.66 90.00
Atoms (fractional coordinates):
Ni: 0.0000 0.5000 0.0000
K: 0.6426 0.6425 0.2852
K: 0.3574 0.3575 0.7148
Mo: 0.5000 0.0000 0.0000

Computed properties:
excess energy over the best structure of this formula in the dataset: 44 meV per atom
magnetic moment: 0.0 μB per formula unit
ΔH_f (0 K): 0.861 eV/atom
density of states at the Fermi level: 3.21 states/eV/f.u.
total DFT energy (no corrections): -4.187 eV per atom